LaTeN2 PBE relaxed; total magnetic moment = 0.0 μB per formula unit; ΔE_f (raw) = -0.14 eV per atom; DFT total energy = -25.3 eV for the cell shown
1.0
1.917 1.107 6.609
-1.917 1.107 6.609
0.000 -2.213 6.609
La Te N
1 1 2
direct
0.000 0.000 0.000
0.500 0.500 0.500
0.395 0.395 0.395
0.605 0.605 0.605